# PBE-GGA Bi2B2O7, relaxed
# **VASP energy**: -6.667 eV/atom
# **Uncorrected formation energy**: -1.592 eV/atom
data_Bi2B2O7
_chemical_formula_sum 'Bi4 B4 O14'
_cell_length_a 5.444
_cell_length_b 6.608
_cell_length_c 8.011
_cell_angle_alpha 71.38
_cell_angle_beta 86.84
_cell_angle_gamma 79.13
_space_group_name_H-M_alt 'P -1'
_space_group_IT_number 2
loop_
_space_group_symop_operation_xyz
'x,y,z'
'-x,-y,-z'
loop_
_atom_site_label
_atom_site_type_symbol
_atom_site_fract_x
_atom_site_fract_y
_atom_site_fract_z
_atom_site_occupancy
Bi1 Bi 0.183 0.094 0.142 1
Bi2 Bi 0.275 0.309 0.605 1
B1 B 0.203 0.827 0.579 1
B2 B 0.351 0.654 0.165 1
O1 O 0.054 0.669 0.609 1
O2 O 0.093 0.778 0.133 1
O3 O 0.194 0.933 0.704 1
O4 O 0.337 0.898 0.425 1
O5 O 0.382 0.515 0.031 1
O6 O 0.420 0.499 0.335 1
O7 O 0.476 0.193 0.879 1